Entry 1:
Entry from the Alexandria database: a geometry-optimized LiTlCdHg6 structure (PBE).

```
LiTlCdHg6
1.0
6.3941 0.0000 0.0000
0.0000 10.5379 0.0000
-3.1970 -5.2690 7.4040
Li Tl Cd Hg
2 2 2 12
Cartesian
3.1970 5.2690 0.0000 Li
3.1970 0.0000 0.0000 Li
3.1970 2.6345 4.1657 Tl
0.0000 2.6345 3.2382 Tl
1.5985 -2.6345 3.7020 Cd
-1.5985 -2.6345 3.7020 Cd
0.0000 2.6345 6.6266 Hg
3.1970 -2.6345 7.1821 Hg
4.8561 -0.0734 2.0973 Hg
1.5380 5.3424 2.0973 Hg
1.5380 -0.0734 2.0973 Hg
4.8561 5.3424 2.0973 Hg
3.1970 2.6345 0.7773 Hg
0.0000 7.9035 0.2219 Hg
-1.6591 5.3424 5.3067 Hg
1.6591 -0.0734 5.3067 Hg
1.6591 5.3424 5.3067 Hg
-1.6591 -0.0734 5.3067 Hg
```

Calculated values
Total magnetization: 0.00 μB per formula unit
Total energy: -0.0590 Ry per atom
Energy of formation from the pure elements: -25 meV/atom

=====

Entry 2:
Entry from the Alexandria database: a geometry-optimized CaCoRh2 structure (PBE).

```
CaCoRh2
1.0
4.2463 1.0573 0.9768
0.9933 1.8634 3.9553
2.2431 -2.3541 3.0871
Co Ca Rh
1 1 2
Cartesian
3.7413 0.2833 4.0096 Co
0.0000 0.0000 0.0000 Ca
1.8707 0.1416 2.0048 Rh
5.6120 0.4249 6.0144 Rh
```

Calculated values
Total magnetization: 3.12 μB per formula unit
Total energy: -0.4286 Ry per atom
Polymorph energy (0 for the lowest one): 102 meV/atom
Energy of formation from the pure elements: 121 meV/atom